This record from the Alexandria database describes a relaxed MnFePS2 crystal. The functional is PBE.

The space group is P4/mmm (No. 123) and the conventional cell measures 4.562, 4.562 and 4.373 Å, with angles of 90.00, 90.00 and 90.00 degrees. The distinct sites, in fractional coordinates, are Mn at (0.000, 0.000, 0.000), Fe at (0.500, 0.500, 0.500), P at (0.000, 0.000, 0.500) and S at (0.000, 0.500, 0.000).

The value obtained for the uncorrected formation energy is 0.625 eV per atom.